No. 1
Computed, not measured: an optimized crystal structure of BaCr2Ru at the GGA-PBE level of DFT.

Output
E_form in meV/atom: 580
Offset from the most stable computed form in meV per atom: 58
SG: R-3m (166)

Lattice parameters (Å, degrees): 4.1926 4.1926 6.5014 71.14 71.14 59.96
With the nearest neighbours (Å) after each atom.
Sites, in units of the cell vectors:
Cr 0.0594 0.0594 0.8217  3 Ru 2.46, 3 Cr 2.57
Ba 0.2500 0.2500 0.2500  8 Cr 3.45-3.54
Cr 0.4406 0.4406 0.6783  3 Ru 2.46, 3 Cr 2.57
Ru 0.7500 0.7500 0.7500  6 Cr 2.46


No. 2
Computed, not measured: an optimized crystal structure of Ho2TcB10 at the GGA-PBE level of DFT.

Output
E_form in meV/atom: -396
SG: Pbam (55)

Lattice parameters (Å, degrees): 4.1535 5.7372 11.3967 90.00 90.00 90.00
With the nearest neighbours (Å) after each atom.
Sites, in units of the cell vectors:
B 0.0000 0.3722 0.1976  5 B 1.66-1.79
Tc 0.0000 0.0000 0.0000  8 B 2.23-2.26
B 0.6997 0.2723 0.6194  4 B 1.66-1.78
B 0.0000 0.5631 0.3068  4 B 1.66-1.78
B 0.0000 0.9369 0.8068  4 B 1.66-1.78
B 0.6997 0.7723 0.8806  4 B 1.66-1.78
B 0.3003 0.7277 0.3806  4 B 1.66-1.78
B 0.0000 0.4369 0.6932  4 B 1.66-1.78
B 0.6997 0.2277 0.1194  4 B 1.66-1.78
B 0.0000 0.1197 0.5409  4 B 1.66-1.79
B 0.0000 0.6197 0.9591  4 B 1.66-1.79
Ho 0.5000 0.2765 0.8679  20 B 2.92-3.04, 2 Tc 3.02
B 0.0000 0.8803 0.4591  4 B 1.66-1.79
Ho 0.5000 0.7235 0.1321  20 B 2.92-3.04, 2 Tc 3.02
B 0.3003 0.2277 0.1194  4 B 1.66-1.78
B 0.0000 0.6278 0.8024  5 B 1.66-1.79
B 0.0000 0.0631 0.1932  4 B 1.66-1.78
B 0.0000 0.1278 0.6976  5 B 1.66-1.79
Tc 0.0000 0.5000 0.5000  8 B 2.23-2.26
Ho 0.5000 0.7765 0.6321  20 B 2.92-3.04, 2 Tc 3.02
B 0.3003 0.7723 0.8806  4 B 1.66-1.78
B 0.0000 0.3803 0.0409  4 B 1.66-1.79
B 0.0000 0.8722 0.3024  5 B 1.66-1.79
B 0.6997 0.7277 0.3806  4 B 1.66-1.78
Ho 0.5000 0.2235 0.3679  20 B 2.92-3.04, 2 Tc 3.02
B 0.3003 0.2723 0.6194  4 B 1.66-1.78


No. 3
Computed, not measured: an optimized crystal structure of TlAgRu at the GGA-PBE level of DFT.

Output
E_form in meV/atom: 613
Offset from the most stable computed form in meV per atom: 0
SG: I4mm (107)

Lattice parameters (Å, degrees): 6.6571 6.6576 2.9970 76.98 77.00 26.02
With the nearest neighbours (Å) after each atom.
Sites, in units of the cell vectors:
Ru 0.3356 0.3356 0.6644  4 Ag 2.87, 4 Tl 2.92-2.93, 4 Ru 3.00
Tl 0.6759 0.6759 0.3241  4 Ru 2.92-2.93, 4 Tl 3.00, 4 Ag 3.18
Ag 0.9885 0.9885 0.0115  4 Ru 2.87, 4 Ag 3.00, 4 Tl 3.18


No. 4
Computed, not measured: an optimized crystal structure of PmTmRu4 at the GGA-PBE level of DFT.

Output
E_form in meV/atom: -254
SG: F-43m (216)

Lattice parameters (Å, degrees): 5.3535 5.3535 5.3535 60.00 60.00 60.00
With the nearest neighbours (Å) after each atom.
Sites, in units of the cell vectors:
Pm 0.2500 0.2500 0.2500  12 Ru 3.14, 4 Tm 3.28
Ru 0.6253 0.1242 0.6253  6 Ru 2.67-2.68
Ru 0.6253 0.6253 0.1242  6 Ru 2.67-2.68
Tm 0.0000 0.0000 0.0000  12 Ru 3.14, 4 Pm 3.28
Ru 0.6253 0.6253 0.6253  6 Ru 2.67-2.68
Ru 0.1242 0.6253 0.6253  6 Ru 2.67-2.68


No. 5
Computed, not measured: an optimized crystal structure of KMoAu2 at the GGA-PBE level of DFT.

Output
E_form in meV/atom: 389
Offset from the most stable computed form in meV per atom: 103
SG: Pm (6)

Lattice parameters (Å, degrees): 5.4000 2.7701 5.4001 89.98 90.00 90.00
With the nearest neighbours (Å) after each atom.
Sites, in units of the cell vectors:
Au 0.0000 0.1249 0.8747  2 Au 2.77, 4 K 3.03-3.04, 4 Mo 3.03-3.04
K 0.0000 0.6244 0.3746  2 K 2.77, 8 Au 3.03-3.04
Au 0.5000 0.1252 0.3755  2 Au 2.77, 4 Mo 3.03-3.04, 4 K 3.03-3.04
Mo 0.5000 0.6255 0.8752  2 Mo 2.77, 8 Au 3.03-3.04


No. 6
Computed, not measured: an optimized crystal structure of TaBe3 at the GGA-PBE level of DFT.

Output
E_form in meV/atom: 273
SG: Imm2 (44)

Lattice parameters (Å, degrees): 4.9455 4.9455 4.9455 151.31 124.78 63.41
With the nearest neighbours (Å) after each atom.
Sites, in units of the cell vectors:
Ta 0.6629 0.0000 0.6629  2 Ta 2.45, 10 Be 2.55-2.61
Be 0.7635 0.7602 0.0033  9 Be 2.45-2.69, 3 Ta 2.55-2.61
Be 0.1637 0.5000 0.6637  8 Be 2.45-2.69, 4 Ta 2.60
Be 0.2431 0.2398 0.0033  9 Be 2.45-2.69, 3 Ta 2.55-2.61


No. 7
Computed, not measured: an optimized crystal structure of Cs2SmPu3O12 at the GGA-PBE level of DFT.

Output
Uncorrected formation energy in eV/atom: -2.56
SG: R-3m (166)

Lattice parameters (Å, degrees): 7.8310 7.8310 7.8310 61.51 61.51 61.51
With the nearest neighbours (Å) after each atom.
Sites, in units of the cell vectors:
Pu 0.0000 0.5000 0.0000  6 O 1.94-2.11
O 0.0756 0.6507 0.0756  1 Pu 1.94
O 0.3493 0.9244 0.9244  1 Pu 1.94
O 0.9244 0.3493 0.9244  1 Pu 1.94
Cs 0.6205 0.6205 0.6205  6 O 3.41-3.51
O 0.0705 0.6930 0.6930  2 Pu 2.11
O 0.3070 0.3070 0.9295  2 Pu 2.11
O 0.0756 0.0756 0.6507  1 Pu 1.94
Pu 0.0000 0.0000 0.5000  6 O 1.94-2.11
O 0.6507 0.0756 0.0756  1 Pu 1.94
O 0.3070 0.9295 0.3070  2 Pu 2.11
Pu 0.5000 0.0000 0.0000  6 O 1.94-2.11
O 0.6930 0.0705 0.6930  2 Pu 2.11
Cs 0.3795 0.3795 0.3795  6 O 3.41-3.51
O 0.6930 0.6930 0.0705  2 Pu 2.11
Sm 0.0000 0.0000 0.0000  6 O 2.33
O 0.9244 0.9244 0.3493  1 Pu 1.94
O 0.9295 0.3070 0.3070  2 Pu 2.11


No. 8
Computed, not measured: an optimized crystal structure of TlSiSb2 at the GGA-PBE level of DFT.

Output
Uncorrected formation energy in eV/atom: 0.31
Offset from the most stable computed form in meV per atom: 138
SG: Pm (6)

Lattice parameters (Å, degrees): 5.2790 3.1478 6.6437 90.06 90.00 90.00
With the nearest neighbours (Å) after each atom.
Sites, in units of the cell vectors:
Sb 0.0000 0.2509 0.0207  1 Si 2.79
Si 0.0000 0.2530 0.4410  3 Sb 2.79-2.84
Tl 0.5000 0.7490 0.7556  2 Tl 3.15, 2 Sb 3.51-3.52
Sb 0.5000 0.2471 0.2827  2 Si 2.84, 4 Sb 3.15-3.16


No. 9
Computed, not measured: an optimized crystal structure of NdMgCuPb at the GGA-PBE level of DFT.

Output
E_form in meV/atom: -199
SG: F-43m (216)

Lattice parameters (Å, degrees): 5.1466 5.1466 5.1466 60.00 60.00 60.00
With the nearest neighbours (Å) after each atom.
Sites, in units of the cell vectors:
Pb 0.7500 0.7500 0.7500  4 Nd 3.15, 4 Mg 3.15
Nd 0.0000 0.0000 0.0000  4 Pb 3.15, 4 Cu 3.15
Cu 0.2500 0.2500 0.2500  4 Nd 3.15, 4 Mg 3.15
Mg 0.5000 0.5000 0.5000  4 Cu 3.15, 4 Pb 3.15


No. 10
Computed, not measured: an optimized crystal structure of TiBiO2 at the GGA-PBE level of DFT.

Output
Uncorrected formation energy in eV/atom: -1.07
SG: R-3m (166)

Lattice parameters (Å, degrees): 7.3498 7.3498 7.3498 25.53 25.53 25.53
With the nearest neighbours (Å) after each atom.
Sites, in units of the cell vectors:
O 0.9132 0.9132 0.9132  1 Ti 1.85
O 0.0868 0.0868 0.0868  1 Ti 1.85
Ti 0.0000 0.0000 0.0000  2 O 1.85
Bi 0.5000 0.5000 0.5000  6 O 2.53


No. 11
Computed, not measured: an optimized crystal structure of SnHgBrF2 at the GGA-PBE level of DFT.

Output
Uncorrected formation energy in eV/atom: -1.31
Offset from the most stable computed form in meV per atom: 0
SG: P4/mmm (123)

Lattice parameters (Å, degrees): 4.5131 4.5131 6.1561 90.00 90.00 90.00
With the nearest neighbours (Å) after each atom.
Sites, in units of the cell vectors:
Br 0.0000 0.0000 0.5000  2 Sn 3.08, 4 Hg 3.19
Sn 0.0000 0.0000 0.0000  4 F 2.26
F 0.0000 0.5000 0.0000  2 Sn 2.26
F 0.5000 0.0000 0.0000  2 Sn 2.26
Hg 0.5000 0.5000 0.5000  4 Br 3.19


No. 12
Computed, not measured: an optimized crystal structure of LaBeCo2 at the GGA-PBE level of DFT.

Output
E_form in meV/atom: -120
SG: Cm (8)

Lattice parameters (Å, degrees): 3.9280 3.9280 5.5481 69.11 69.11 60.01
With the nearest neighbours (Å) after each atom.
Sites, in units of the cell vectors:
Be 0.3132 0.3132 0.0613  6 Co 2.28-2.35
Co 0.6882 0.6882 0.9370  3 Co 2.29-2.30, 3 Be 2.35
La 0.5003 0.5003 0.4957  1 Co 2.82, 4 Be 2.86-3.16
Co 0.9983 0.9983 0.0060  3 Be 2.28-2.29, 3 Co 2.29-2.30


Result set for size of the total moment: 2.8, 0.0, 1.2, 0.0, 1.3, 0.0, 5.0, 0.0, 0.0, 0.0, 0.0, 1.9 μB per formula unit, one per record in the order listed.
Result set for uncorrected energy: -28.12, -182.88, -12.66, -47.85, -16.93, -21.94, -155.02, -14.79, -14.96, -25.96, -16.28, -23.35 eV for the cell shown, one per record in the order listed.